First-principles (PBE) data for a relaxed structure of ZnCoAu2, as listed in Alexandria via LeMat-Bulk.

Lattice parameters (Å, degrees): 8.930 2.881 4.941 90.00 100.56 90.00
Element x y z (fractional)
Zn (0.000, 0.000, 0.000)
Zn (0.500, 0.500, 0.000)
Co (0.000, 0.500, 0.500)
Co (0.500, 0.000, 0.500)
Au (0.246, 0.000, 0.746)
Au (0.254, 0.500, 0.254)
Au (0.746, 0.500, 0.746)
Au (0.754, 0.000, 0.254)

formation enthalpy at 0 K: 0.1155 eV per atom
total moment: 1.55 μB per formula unit
D(E_F): 8.3 states/eV per cell
space-group type: C2/m (12)


First-principles (PBE) data for a relaxed structure of Zn2CoAu, as listed in Alexandria via LeMat-Bulk.

Lattice parameters (Å, degrees): 2.726 4.152 5.274 90.00 104.72 90.00
Element x y z (fractional)
Zn (0.000, 0.000, 0.000)
Zn (0.144, 0.500, 0.288)
Co (0.413, 0.500, 0.824)
Au (0.751, 0.000, 0.503)

formation enthalpy at 0 K: 0.0240 eV per atom
total moment: 1.26 μB per formula unit
D(E_F): 3.0 states/eV per cell
space-group type: Pm (6)


First-principles (PBE) data for a relaxed structure of ZnCoAu2, as listed in Alexandria via LeMat-Bulk.

Lattice parameters (Å, degrees): 2.843 2.843 26.835 90.00 90.00 120.00
Element x y z (fractional)
Zn (0.000, 0.000, 0.000)
Zn (0.333, 0.667, 0.667)
Zn (0.667, 0.333, 0.333)
Co (0.000, 0.000, 0.739)
Co (0.333, 0.667, 0.406)
Co (0.667, 0.333, 0.072)
Au (0.000, 0.000, 0.249)
Au (0.000, 0.000, 0.486)
Au (0.333, 0.667, 0.153)
Au (0.333, 0.667, 0.916)
Au (0.667, 0.333, 0.582)
Au (0.667, 0.333, 0.819)

formation enthalpy at 0 K: 0.1027 eV per atom
total moment: 1.57 μB per formula unit
D(E_F): 10.1 states/eV per cell
space-group type: R3m (160)


First-principles (PBE) data for a relaxed structure of Zn2CoAu, as listed in Alexandria via LeMat-Bulk.

Lattice parameters (Å, degrees): 2.780 3.767 5.499 90.00 90.00 90.00
Element x y z (fractional)
Zn (0.000, 0.000, 0.000)
Zn (0.500, 0.500, 0.263)
Co (0.500, 0.500, 0.798)
Au (0.000, 0.000, 0.519)

formation enthalpy at 0 K: 0.0178 eV per atom
total moment: 1.24 μB per formula unit
D(E_F): 3.7 states/eV per cell
space-group type: Pmm2 (25)


First-principles (PBE) data for a relaxed structure of Zn6CoAu, as listed in Alexandria via LeMat-Bulk.

Lattice parameters (Å, degrees): 5.615 7.629 6.068 90.00 117.27 90.00
Element x y z (fractional)
Zn (0.128, 0.250, 0.256)
Zn (0.128, 0.750, 0.256)
Zn (0.237, 0.000, 0.973)
Zn (0.263, 0.500, 0.027)
Zn (0.372, 0.250, 0.744)
Zn (0.372, 0.750, 0.744)
Zn (0.628, 0.250, 0.256)
Zn (0.628, 0.750, 0.256)
Zn (0.737, 0.500, 0.973)
Zn (0.763, 0.000, 0.027)
Zn (0.872, 0.250, 0.744)
Zn (0.872, 0.750, 0.744)
Co (0.000, 0.000, 0.500)
Co (0.500, 0.500, 0.500)
Au (0.000, 0.500, 0.500)
Au (0.500, 0.000, 0.500)

formation enthalpy at 0 K: -0.0348 eV per atom
total moment: 0.68 μB per formula unit
offset from the most stable computed form: 38.2 meV per atom
D(E_F): 8.8 states/eV per cell
space-group type: C2/m (12)


First-principles (PBE) data for a relaxed structure of Zn6CoAu2, as listed in Alexandria via LeMat-Bulk.

Lattice parameters (Å, degrees): 7.315 7.315 4.037 105.23 105.23 50.65
Element x y z (fractional)
Zn (0.066, 0.622, 0.349)
Zn (0.220, 0.780, 0.000)
Zn (0.378, 0.934, 0.651)
Zn (0.622, 0.066, 0.349)
Zn (0.780, 0.220, 0.000)
Zn (0.934, 0.378, 0.651)
Co (0.000, 0.000, 0.500)
Au (0.337, 0.337, 0.842)
Au (0.663, 0.663, 0.158)

formation enthalpy at 0 K: -0.0276 eV per atom
total moment: 0.00 μB per formula unit
offset from the most stable computed form: 0.0 meV per atom
D(E_F): 4.4 states/eV per cell
space-group type: C2/m (12)


First-principles (PBE) data for a relaxed structure of ZnCoAu, as listed in Alexandria via LeMat-Bulk.

Lattice parameters (Å, degrees): 4.293 4.293 2.731 90.00 90.00 120.00
Element x y z (fractional)
Zn (0.000, 0.000, 0.000)
Co (0.333, 0.667, 0.784)
Au (0.667, 0.333, 0.361)

formation enthalpy at 0 K: 0.1389 eV per atom
total moment: 1.40 μB per formula unit
offset from the most stable computed form: 130.2 meV per atom
D(E_F): 4.1 states/eV per cell
space-group type: P3m1 (156)


First-principles (PBE) data for a relaxed structure of ZnCoAu, as listed in Alexandria via LeMat-Bulk.

Lattice parameters (Å, degrees): 2.767 2.767 11.272 90.00 90.00 90.00
Element x y z (fractional)
Zn (0.000, 0.000, 0.000)
Zn (0.500, 0.500, 0.500)
Co (0.000, 0.000, 0.354)
Co (0.500, 0.500, 0.854)
Au (0.000, 0.000, 0.684)
Au (0.500, 0.500, 0.184)

formation enthalpy at 0 K: 0.0578 eV per atom
total moment: 1.31 μB per formula unit
offset from the most stable computed form: 49.1 meV per atom
D(E_F): 5.6 states/eV per cell
space-group type: I4mm (107)


First-principles (PBE) data for a relaxed structure of Zn6CoAu5, as listed in Alexandria via LeMat-Bulk.

Lattice parameters (Å, degrees): 7.621 7.621 4.389 104.76 104.76 49.84
Element x y z (fractional)
Zn (0.083, 0.602, 0.339)
Zn (0.231, 0.769, 0.000)
Zn (0.398, 0.917, 0.661)
Zn (0.602, 0.083, 0.339)
Zn (0.769, 0.231, 0.000)
Zn (0.917, 0.398, 0.661)
Co (0.000, 0.000, 0.500)
Au (0.170, 0.170, 0.175)
Au (0.330, 0.330, 0.830)
Au (0.500, 0.500, 0.500)
Au (0.670, 0.670, 0.170)
Au (0.830, 0.830, 0.825)

formation enthalpy at 0 K: -0.1479 eV per atom
total moment: 1.15 μB per formula unit
D(E_F): 4.2 states/eV per cell
space-group type: C2/m (12)


First-principles (PBE) data for a relaxed structure of Zn2CoAu, as listed in Alexandria via LeMat-Bulk.

Lattice parameters (Å, degrees): 5.323 5.313 4.836 90.00 122.80 90.00
Element x y z (fractional)
Zn (0.000, 0.000, 0.000)
Zn (0.000, 0.250, 0.500)
Zn (0.500, 0.500, 0.000)
Zn (0.500, 0.750, 0.500)
Co (0.000, 0.498, 0.000)
Co (0.500, 0.998, 0.000)
Au (0.000, 0.751, 0.500)
Au (0.500, 0.251, 0.500)

formation enthalpy at 0 K: 0.0082 eV per atom
total moment: 1.32 μB per formula unit
D(E_F): 9.0 states/eV per cell
space-group type: C2 (5)


First-principles (PBE) data for a relaxed structure of ZnCoAu2, as listed in Alexandria via LeMat-Bulk.

Lattice parameters (Å, degrees): 3.850 3.850 18.397 90.00 90.00 90.00
Element x y z (fractional)
Zn (0.000, 0.000, 0.000)
Zn (0.000, 0.500, 0.250)
Zn (0.500, 0.000, 0.750)
Zn (0.500, 0.500, 0.500)
Co (0.000, 0.000, 0.500)
Co (0.000, 0.500, 0.750)
Co (0.500, 0.000, 0.250)
Co (0.500, 0.500, 0.000)
Au (0.249, 0.250, 0.625)
Au (0.250, 0.749, 0.875)
Au (0.250, 0.751, 0.375)
Au (0.251, 0.250, 0.125)
Au (0.749, 0.750, 0.125)
Au (0.750, 0.249, 0.375)
Au (0.750, 0.251, 0.875)
Au (0.751, 0.750, 0.625)

formation enthalpy at 0 K: 0.3062 eV per atom
total moment: 1.58 μB per formula unit
D(E_F): 22.8 states/eV per cell
space-group type: I-42d (122)


First-principles (PBE) data for a relaxed structure of Zn2CoAu, as listed in Alexandria via LeMat-Bulk.

Lattice parameters (Å, degrees): 3.941 3.941 3.606 90.00 90.00 90.00
Element x y z (fractional)
Zn (0.000, 0.500, 0.000)
Zn (0.500, 0.000, 0.000)
Co (0.000, 0.000, 0.500)
Au (0.500, 0.500, 0.500)

formation enthalpy at 0 K: -0.0746 eV per atom
total moment: 0.00 μB per formula unit
D(E_F): 1.7 states/eV per cell
space-group type: P4/mmm (123)


First-principles (PBE) data for a relaxed structure of ZnCoAu, as listed in Alexandria via LeMat-Bulk.

Lattice parameters (Å, degrees): 2.809 3.562 8.620 90.00 90.00 90.00
Element x y z (fractional)
Zn (0.000, 0.000, 0.000)
Zn (0.500, 0.500, 0.500)
Co (0.000, 0.000, 0.356)
Co (0.500, 0.500, 0.856)
Au (0.000, 0.000, 0.679)
Au (0.500, 0.500, 0.179)

formation enthalpy at 0 K: 0.0945 eV per atom
total moment: 1.29 μB per formula unit
offset from the most stable computed form: 85.7 meV per atom
D(E_F): 8.9 states/eV per cell
space-group type: Imm2 (44)


First-principles (PBE) data for a relaxed structure of Zn3CoAu, as listed in Alexandria via LeMat-Bulk.

Lattice parameters (Å, degrees): 4.517 4.517 4.517 90.00 90.00 90.00
Element x y z (fractional)
Zn (0.000, 0.000, 0.500)
Zn (0.000, 0.500, 0.000)
Zn (0.500, 0.000, 0.000)
Co (0.000, 0.000, 0.000)
Au (0.500, 0.500, 0.500)

formation enthalpy at 0 K: 0.4570 eV per atom
total moment: 0.15 μB per formula unit
offset from the most stable computed form: 0.0 meV per atom
D(E_F): 3.2 states/eV per cell
space-group type: Pm-3m (221)


First-principles (PBE) data for a relaxed structure of Zn2CoAu, as listed in Alexandria via LeMat-Bulk.

Lattice parameters (Å, degrees): 4.605 2.795 4.814 90.00 110.88 90.00
Element x y z (fractional)
Zn (0.000, 0.000, 0.000)
Zn (0.000, 0.500, 0.500)
Co (0.500, 0.000, 0.500)
Au (0.500, 0.500, 0.000)

formation enthalpy at 0 K: 0.0108 eV per atom
total moment: 1.26 μB per formula unit
D(E_F): 2.3 states/eV per cell
space-group type: P2/m (10)


First-principles (PBE) data for a relaxed structure of ZnCoAu2, as listed in Alexandria via LeMat-Bulk.

Lattice parameters (Å, degrees): 2.880 2.880 26.271 90.00 90.00 120.00
Element x y z (fractional)
Zn (0.000, 0.000, 0.000)
Zn (0.333, 0.667, 0.667)
Zn (0.667, 0.333, 0.333)
Co (0.000, 0.000, 0.500)
Co (0.333, 0.667, 0.167)
Co (0.667, 0.333, 0.833)
Au (0.000, 0.000, 0.248)
Au (0.000, 0.000, 0.752)
Au (0.333, 0.667, 0.418)
Au (0.333, 0.667, 0.915)
Au (0.667, 0.333, 0.085)
Au (0.667, 0.333, 0.582)

formation enthalpy at 0 K: 0.1160 eV per atom
total moment: 1.77 μB per formula unit
D(E_F): 9.8 states/eV per cell
space-group type: R-3m (166)


First-principles (PBE) data for a relaxed structure of ZnCoAu2, as listed in Alexandria via LeMat-Bulk.

Lattice parameters (Å, degrees): 9.806 2.797 4.726 90.00 108.47 90.00
Element x y z (fractional)
Zn (0.000, 0.000, 0.000)
Zn (0.500, 0.500, 0.000)
Co (0.287, 0.000, 0.680)
Co (0.787, 0.500, 0.680)
Au (0.039, 0.500, 0.528)
Au (0.256, 0.500, 0.169)
Au (0.539, 0.000, 0.528)
Au (0.756, 0.000, 0.169)

formation enthalpy at 0 K: 0.0469 eV per atom
total moment: 1.55 μB per formula unit
D(E_F): 5.0 states/eV per cell
space-group type: Cm (8)


First-principles (PBE) data for a relaxed structure of Zn6CoAu, as listed in Alexandria via LeMat-Bulk.

Lattice parameters (Å, degrees): 3.823 3.823 7.814 90.00 90.00 90.00
Element x y z (fractional)
Zn (0.000, 0.000, 0.000)
Zn (0.000, 0.000, 0.500)
Zn (0.000, 0.500, 0.231)
Zn (0.000, 0.500, 0.769)
Zn (0.500, 0.000, 0.231)
Zn (0.500, 0.000, 0.769)
Co (0.500, 0.500, 0.000)
Au (0.500, 0.500, 0.500)

formation enthalpy at 0 K: -0.0731 eV per atom
total moment: 0.00 μB per formula unit
offset from the most stable computed form: 0.0 meV per atom
D(E_F): 3.7 states/eV per cell
space-group type: P4/mmm (123)


First-principles (PBE) data for a relaxed structure of Zn2CoAu, as listed in Alexandria via LeMat-Bulk.

Lattice parameters (Å, degrees): 8.590 2.813 4.866 90.00 101.18 90.00
Element x y z (fractional)
Zn (0.242, 0.000, 0.226)
Zn (0.258, 0.500, 0.774)
Zn (0.742, 0.500, 0.226)
Zn (0.758, 0.000, 0.774)
Co (0.000, 0.500, 0.000)
Co (0.500, 0.000, 0.000)
Au (0.000, 0.000, 0.500)
Au (0.500, 0.500, 0.500)

formation enthalpy at 0 K: -0.0060 eV per atom
total moment: 1.15 μB per formula unit
D(E_F): 5.4 states/eV per cell
space-group type: C2/m (12)


First-principles (PBE) data for a relaxed structure of Zn5CoAu4, as listed in Alexandria via LeMat-Bulk.

Lattice parameters (Å, degrees): 3.015 3.015 16.885 90.00 90.00 90.00
Element x y z (fractional)
Zn (0.000, 0.000, 0.000)
Zn (0.000, 0.000, 0.211)
Zn (0.000, 0.000, 0.421)
Zn (0.000, 0.000, 0.579)
Zn (0.000, 0.000, 0.789)
Co (0.500, 0.500, 0.500)
Au (0.500, 0.500, 0.105)
Au (0.500, 0.500, 0.315)
Au (0.500, 0.500, 0.685)
Au (0.500, 0.500, 0.895)

formation enthalpy at 0 K: -0.1470 eV per atom
total moment: 0.00 μB per formula unit
D(E_F): 3.2 states/eV per cell
space-group type: P4/mmm (123)